Y3Zn4Cu2 after structural relaxation. Source: Alexandria, functional PBE-GGA.

Computed properties:
Fermi-level density of states	7.7	states/eV/cell
V	19.86	Å³/atom
calculated formation energy	-0.34	eV/atom
size of the total moment	0.00	μB/f.u.
calculated total energy	-3.971	eV/atom

Cell: 4.3573 5.6711 8.3974 Å, 70.74 74.96 67.41°
Positions (direct):
Y 0.3253 0.6932 0.6561
Y 0.0000 0.0000 0.0000
Y 0.6747 0.3068 0.3439
Zn 0.2758 0.3871 0.0614
Zn 0.7242 0.6129 0.9386
Zn 0.0418 0.2922 0.6242
Zn 0.9582 0.7078 0.3758
Cu 0.3987 0.9332 0.2695
Cu 0.6013 0.0668 0.7305


Y2Zn5Cu3 after structural relaxation. Source: Alexandria, functional PBE-GGA.

Computed properties:
Fermi-level density of states	4.7	states/eV/cell
V	17.46	Å³/atom
calculated formation energy	-0.26	eV/atom
size of the total moment	0.00	μB/f.u.
calculated total energy	-3.415	eV/atom

Cell: 3.9519 3.9519 11.1780 Å, 90.00 90.00 90.00°
Positions (direct):
Y 0.5000 0.0000 0.2629
Y 0.0000 0.5000 0.7371
Zn 0.5000 0.5000 0.0000
Zn 0.0000 0.0000 0.0000
Zn 0.5000 0.0000 0.8536
Zn 0.0000 0.5000 0.1464
Zn 0.5000 0.5000 0.5000
Cu 0.5000 0.0000 0.6365
Cu 0.0000 0.5000 0.3635
Cu 0.0000 0.0000 0.5000


Y2Zn5Cu3 after structural relaxation. Source: Alexandria, functional PBE-GGA.

Computed properties:
Fermi-level density of states	11.6	states/eV/cell
V	17.19	Å³/atom
calculated formation energy	-0.25	eV/atom
size of the total moment	0.00	μB/f.u.
calculated total energy	-3.411	eV/atom

Cell: 4.3410 6.6896 12.0355 Å, 90.00 100.39 90.00°
Positions (direct):
Y 0.4824 0.7657 0.9649
Y 0.1751 0.7186 0.3501
Y 0.8249 0.2186 0.6499
Y 0.5176 0.2657 0.0351
Zn 0.3943 0.4383 0.7887
Zn 0.2881 0.5087 0.5763
Zn 0.7119 0.0087 0.4237
Zn 0.1259 0.2592 0.2517
Zn 0.2976 0.8908 0.5952
Zn 0.9478 0.0709 0.8956
Zn 0.7024 0.3908 0.4048
Zn 0.8741 0.7592 0.7483
Zn 0.0522 0.5709 0.1044
Zn 0.6057 0.9383 0.2113
Cu 0.7687 0.6944 0.5374
Cu 0.6067 0.5486 0.2134
Cu 0.0535 0.9696 0.1069
Cu 0.2313 0.1944 0.4626
Cu 0.9465 0.4696 0.8931
Cu 0.3933 0.0486 0.7866


Y4Zn3Cu after structural relaxation. Source: Alexandria, functional PBE-GGA.

Computed properties:
Fermi-level density of states	6.7	states/eV/cell
V	22.52	Å³/atom
calculated formation energy	-0.33	eV/atom
size of the total moment	0.00	μB/f.u.
calculated total energy	-4.551	eV/atom

Cell: 3.5529 3.5529 14.2739 Å, 90.00 90.00 90.00°
Positions (direct):
Y 0.0000 0.0000 0.8797
Y 0.0000 0.0000 0.1203
Y 0.0000 0.0000 0.3735
Y 0.0000 0.0000 0.6265
Zn 0.5000 0.5000 0.2484
Zn 0.5000 0.5000 0.5000
Zn 0.5000 0.5000 0.7516
Cu 0.5000 0.5000 0.0000


Y3ZnCu2 after structural relaxation. Source: Alexandria, functional PBE-GGA.

Computed properties:
Fermi-level density of states	4.2	states/eV/cell
V	21.71	Å³/atom
calculated formation energy	-0.28	eV/atom
size of the total moment	0.00	μB/f.u.
calculated total energy	-5.091	eV/atom

Cell: 3.5119 3.5119 10.5594 Å, 90.00 90.00 90.00°
Positions (direct):
Y 0.0000 0.0000 0.0000
Y 0.0000 0.0000 0.6714
Y 0.0000 0.0000 0.3286
Zn 0.5000 0.5000 0.5000
Cu 0.5000 0.5000 0.8331
Cu 0.5000 0.5000 0.1669


Y6ZnCu2 after structural relaxation. Source: Alexandria, functional PBE-GGA.

Computed properties:
Fermi-level density of states	18.9	states/eV/cell
V	25.80	Å³/atom
calculated formation energy	-0.18	eV/atom
size of the total moment	0.00	μB/f.u.
calculated total energy	-5.543	eV/atom

Cell: 8.4542 8.4542 8.4542 Å, 107.09 109.84 111.52°
Positions (direct):
Y 0.5456 0.7251 0.8205
Y 0.4544 0.2749 0.1795
Y 0.0954 0.2749 0.8205
Y 0.9046 0.7251 0.1795
Y 0.8107 0.7564 0.5671
Y 0.1893 0.2436 0.4329
Y 0.1893 0.7564 0.9456
Y 0.8107 0.2436 0.0544
Y 0.6987 0.3740 0.6753
Y 0.3013 0.6260 0.3247
Y 0.3013 0.9766 0.6753
Y 0.6987 0.0234 0.3247
Zn 0.0000 0.5000 0.5000
Zn 0.0000 0.0000 0.0000
Cu 0.5000 0.3805 0.8805
Cu 0.5000 0.6195 0.1195
Cu 0.6514 0.0000 0.6514
Cu 0.3486 0.0000 0.3486


Y3ZrCu after structural relaxation. Source: Alexandria, functional PBE-GGA.

Computed properties:
Fermi-level density of states	3.1	states/eV/cell
V	33.06	Å³/atom
calculated formation energy	0.89	eV/atom
size of the total moment	0.00	μB/f.u.
calculated total energy	-5.519	eV/atom

Cell: 5.4880 5.4880 5.4880 Å, 90.00 90.00 90.00°
Positions (direct):
Y 0.0000 0.5000 0.0000
Y 0.0000 0.0000 0.5000
Y 0.5000 0.0000 0.0000
Cu 0.5000 0.5000 0.5000
Zr 0.0000 0.0000 0.0000


YZr2Cu2 after structural relaxation. Source: Alexandria, functional PBE-GGA.

Computed properties:
Fermi-level density of states	7.3	states/eV/cell
V	21.25	Å³/atom
calculated formation energy	0.01	eV/atom
size of the total moment	0.00	μB/f.u.
calculated total energy	-6.344	eV/atom

Cell: 4.2399 4.2399 6.6277 Å, 71.35 71.35 90.00°
Positions (direct):
Y 0.0000 0.0000 0.0000
Cu 0.4011 0.4011 0.1978
Cu 0.5989 0.5989 0.8022
Zr 0.7500 0.2500 0.5000
Zr 0.2500 0.7500 0.5000